A relaxed structure of La2TaW, computed with PBE.

Calculated values
* formation energy from the elements: 1195 meV/atom
* electronic total energy: -59.8 eV per cell
* distance to the lowest polymorph of the same formula: 3.53 eV per formula unit
* mass density: 10.643 g cm⁻³
* M_tot: 0.0000 μB/atom

Structure (POSCAR):
```
La2TaW
1.0
8.327 0.000 0.000
0.000 8.327 0.000
4.163 4.163 2.892
La W Ta
4 2 2
Direct
0.640 0.125 0.250
0.110 0.625 0.250
0.375 0.360 0.750
0.875 0.890 0.750
0.000 0.000 0.000
0.750 0.250 0.500
0.500 0.500 0.000
0.250 0.750 0.500
```